# 1
Here is a relaxed structure of TlGaO2 from the Alexandria database. Energies are from PBE.

```
TlGaO2
1.0
3.1115 0.0015 0.0103
-0.0022 5.1476 -0.0771
-0.0298 1.4146 8.5122
Ga Tl O
2 2 4
Direct
0.8873 0.0049 0.7893
0.3872 0.5068 0.8103
0.3876 0.0434 0.1417
0.8873 0.4686 0.4579
0.8872 0.6920 0.6838
0.3873 0.2189 0.6724
0.8873 0.2930 0.9272
0.3873 0.8199 0.9158
```

## Properties
The raw formation energy is -1.352 eV/atom. The volume is 17.085 A^3/atom. The symmetry is P2_1/m. The calculation puts the raw total energy at -5.180 eV per atom. As for the mass density: 7.4 g/cm³. For the density of states at the Fermi level, the calculation gives 0.00 states/eV/cell.

***

# 2
Here is a relaxed structure of K2HNF6 from the Alexandria database. Energies are from PBE.

```
K2HNF6
1.0
6.2588 -0.3031 -0.1905
-0.3030 6.2587 -0.1911
-3.1114 -3.1112 3.9525
F H N K
6 1 1 2
Direct
0.1869 0.1875 0.4021
0.7945 0.1971 0.0095
0.7799 0.7804 0.9289
0.3223 0.3227 0.0440
0.7081 0.7086 0.2981
0.1966 0.7950 0.0096
0.5123 0.5128 0.1669
0.9941 0.9946 0.0279
0.7843 0.2204 0.5555
0.2200 0.7848 0.5555
```

## Properties
The volume is 14.667 A^3/atom. The symmetry is Cm. The calculation puts the raw total energy at -4.070 eV per atom. As for the mass density: 2.3 g/cm³. For the density of states at the Fermi level, the calculation gives 0.00 states/eV/cell.

***

# 3
Here is a relaxed structure of Pm6Os2Pb from the Alexandria database. Energies are from PBE.

```
Pm6Os2Pb
1.0
-7.9383 -3.4264 1.4333
1.2725 2.0795 -8.4183
6.2608 -5.8149 1.9495
Os Pb Pm
4 2 12
Direct
0.5000 0.6176 0.1176
0.3329 0.0000 0.3329
0.5000 0.3824 0.8824
0.6671 0.0000 0.6671
0.0000 0.5000 0.5000
0.0000 0.0000 0.0000
0.9027 0.7178 0.1849
0.6859 0.0157 0.3298
0.4671 0.2822 0.1849
0.5329 0.7178 0.8151
0.7893 0.2394 0.0287
0.3141 0.9843 0.6702
0.3141 0.6439 0.3298
0.6859 0.3561 0.6702
0.0973 0.2822 0.8151
0.7893 0.7606 0.5500
0.2107 0.2394 0.4500
0.2107 0.7606 0.9713
```

## Properties
The volume is 28.680 A^3/atom. The symmetry is Immm. The calculation puts the raw total energy at -6.313 eV per atom. The energy relative to the elements comes out at -239 meV per atom. As for the mass density: 9.4 g/cm³. For the density of states at the Fermi level, the calculation gives 17.13 states/eV/cell.

***

# 4
Here is a relaxed structure of Ho8TmSc3 from the Alexandria database. Energies are from PBE.

```
Ho8TmSc3
1.0
6.4592 0.9053 0.0021
-0.4018 8.6448 -2.1688
2.0755 -1.1071 6.6514
Ho Sc Tm
8 3 1
Direct
0.5559 0.6862 0.8301
0.1086 0.6329 0.1688
0.2248 0.0291 0.3372
0.2213 0.0292 0.8318
0.4436 0.3088 0.1702
0.7714 0.9675 0.6642
0.7783 0.9706 0.1692
0.8910 0.3577 0.8299
0.5576 0.6890 0.3326
0.4494 0.3053 0.6643
0.8809 0.3607 0.3376
0.1155 0.6327 0.6608
```

## Properties
The volume is 29.517 A^3/atom. The symmetry is P1. The calculation puts the raw total energy at -4.993 eV per atom. The energy relative to the elements comes out at 15 meV per atom. As for the mass density: 7.6 g/cm³. For the density of states at the Fermi level, the calculation gives 20.77 states/eV/cell.